No. 1
First-principles (PBE) data for a relaxed structure of YAl2ZnCu, as listed in OQMD.

Symmetry ... I4mm, No. 107
Total moment ... 0.0 Bohr magnetons per cell

The structure in POSCAR format:
```
YAl2ZnCu
1.0
-2.033 2.033 5.361
2.033 -2.033 5.361
2.033 2.033 -5.361
Cu Zn Al Y
1 1 2 1
Direct
0.384 0.384 0.000
0.606 0.606 0.000
0.755 0.255 0.500
0.255 0.755 0.500
0.000 0.000 0.000
```

No. 2
First-principles (PBE) data for a relaxed structure of Al2ZnCu5, as listed in OQMD.

Symmetry ... P4/mmm, No. 123

The structure in POSCAR format:
```
Al2ZnCu5
1.0
2.926 -2.926 0.000
-2.926 -2.926 0.000
0.000 0.000 -5.866
Zn Cu Al
1 5 2
Direct
0.500 0.500 0.000
0.500 0.000 0.748
0.000 0.500 0.748
0.000 0.000 0.500
0.500 0.000 0.252
0.000 0.500 0.252
0.000 0.000 0.000
0.500 0.500 0.500
```

Number 1: E -4.221 eV/atom. Number 2: E -3.580 eV/atom.